Entry 1:
A plane-wave DFT calculation with GGA-PBE was carried out for a geometry-optimized OsWI3 structure.

Values from the calculation:
For the raw formation energy, the calculation gives 9.7 eV per formula unit. The energy comes out at -3.8225 eV/atom. The space-group type is Pm-3m (221).

```
OsWI3
1.0
5.576 0.000 0.000
0.000 5.576 0.000
0.000 0.000 5.576
Os W I
1 1 3
Direct
0.000 0.000 0.000
0.500 0.500 0.500
0.000 0.500 0.500
0.500 0.000 0.500
0.500 0.500 0.000
```

=====

Entry 2:
A plane-wave DFT calculation with GGA-PBE was carried out for a geometry-optimized Y6OsI10 structure.

Values from the calculation:
For the raw formation energy, the calculation gives -20.3 eV per formula unit. The energy comes out at -5.0465 eV/atom. The space-group type is P-1 (2).

```
Y6OsI10
1.0
7.747 0.000 0.000
-2.412 9.430 0.000
-1.130 -3.258 9.151
Y Os I
6 1 10
Direct
0.033 0.219 0.417
0.115 0.543 0.260
0.348 0.624 0.666
0.652 0.376 0.334
0.885 0.457 0.740
0.967 0.781 0.583
0.000 0.500 0.500
0.088 0.872 0.321
0.222 0.244 0.155
0.256 0.586 0.959
0.345 0.948 0.773
0.455 0.315 0.592
0.545 0.685 0.408
0.655 0.052 0.227
0.744 0.414 0.041
0.778 0.756 0.845
0.912 0.128 0.679
```

=====

Entry 3:
A plane-wave DFT calculation with GGA-PBE was carried out for a geometry-optimized YOs2I structure.

Values from the calculation:
For the raw formation energy, the calculation gives 4.3 eV per formula unit. The energy comes out at -6.5341 eV/atom. The space-group type is I-42d (122).

```
YOs2I
1.0
-3.894 3.894 2.823
3.894 -3.894 2.823
3.894 3.894 -2.823
Y Os I
2 4 2
Direct
0.000 0.000 0.000
0.750 0.250 0.500
0.165 0.625 0.040
0.375 0.415 0.540
0.585 0.125 0.960
0.875 0.835 0.460
0.250 0.750 0.500
0.500 0.500 0.000
```

=====

Entry 4:
A plane-wave DFT calculation with GGA-PBE was carried out for a geometry-optimized Y2OsI2 structure.

Values from the calculation:
For the raw formation energy, the calculation gives -0.1 eV per formula unit. The energy comes out at -5.4625 eV/atom. The space-group type is P4/mbm (127).

```
Y2OsI2
1.0
7.570 0.000 0.000
0.000 7.570 0.000
0.000 0.000 5.238
Y Os I
4 2 4
Direct
0.177 0.323 0.000
0.323 0.823 0.000
0.677 0.177 0.000
0.823 0.677 0.000
0.000 0.000 0.000
0.500 0.500 0.000
0.164 0.664 0.500
0.336 0.164 0.500
0.664 0.836 0.500
0.836 0.336 0.500
```

=====

Entry 5:
A plane-wave DFT calculation with GGA-PBE was carried out for a geometry-optimized YOs2I structure.

Values from the calculation:
For the raw formation energy, the calculation gives 3.7 eV per formula unit. The energy comes out at -6.6972 eV/atom. The space-group type is Fm-3m (225).

```
YOs2I
1.0
0.000 3.382 3.382
3.382 0.000 3.382
3.382 3.382 0.000
Y Os I
1 2 1
Direct
0.000 0.000 0.000
0.250 0.250 0.250
0.750 0.750 0.750
0.500 0.500 0.500
```

=====

Entry 6:
A plane-wave DFT calculation with GGA-PBE was carried out for a geometry-optimized Y2OsI2 structure.

Values from the calculation:
For the raw formation energy, the calculation gives 2.7 eV per formula unit. The energy comes out at -4.9208 eV/atom. The space-group type is I4/mmm (139).

```
Y2OsI2
1.0
-2.229 2.229 7.560
2.229 -2.229 7.560
2.229 2.229 -7.560
Y Os I
2 1 2
Direct
0.103 0.103 0.000
0.897 0.897 0.000
0.500 0.500 0.000
0.250 0.750 0.500
0.750 0.250 0.500
```

=====

Entry 7:
A plane-wave DFT calculation with GGA-PBE was carried out for a geometry-optimized YOsI structure.

Values from the calculation:
For the raw formation energy, the calculation gives -2.3 eV per formula unit. The energy comes out at -7.1955 eV/atom. The space-group type is R-3m (166).

```
YOsI
1.0
2.109 1.218 12.051
-2.109 1.218 12.051
0.000 -2.436 12.051
Y Os I
2 2 2
Direct
0.055 0.055 0.055
0.945 0.945 0.945
0.336 0.336 0.336
0.664 0.664 0.664
0.221 0.221 0.221
0.779 0.779 0.779
```

=====

Entry 8:
A plane-wave DFT calculation with GGA-PBE was carried out for a geometry-optimized ZnOs3I structure.

Values from the calculation:
For the raw formation energy, the calculation gives 13.8 eV per formula unit. The energy comes out at -4.5358 eV/atom. The space-group type is Pm-3m (221).

```
ZnOs3I
1.0
4.797 0.000 0.000
0.000 4.797 0.000
0.000 0.000 4.797
Zn Os I
1 3 1
Direct
0.000 0.000 0.000
0.000 0.500 0.500
0.500 0.000 0.500
0.500 0.500 0.000
0.500 0.500 0.500
```

=====

Entry 9:
A plane-wave DFT calculation with GGA-PBE was carried out for a geometry-optimized ZnOs3I structure.

Values from the calculation:
For the raw formation energy, the calculation gives 11.8 eV per formula unit. The energy comes out at -4.9338 eV/atom. The space-group type is Pm-3m (221).

```
ZnOs3I
1.0
4.577 0.000 0.000
0.000 4.577 0.000
0.000 0.000 4.577
Zn Os I
1 3 1
Direct
0.000 0.000 0.000
0.000 0.000 0.500
0.000 0.500 0.000
0.500 0.000 0.000
0.500 0.500 0.500
```

=====

Entry 10:
A plane-wave DFT calculation with GGA-PBE was carried out for a geometry-optimized ZrZnOs2I structure.

Values from the calculation:
For the raw formation energy, the calculation gives 9.8 eV per formula unit. The energy comes out at -4.8059 eV/atom. The space-group type is P4/mmm (123).

```
ZrZnOs2I
1.0
4.843 0.000 0.000
0.000 4.843 0.000
0.000 0.000 4.817
Zr Zn Os I
1 1 2 1
Direct
0.000 0.000 0.000
0.500 0.500 0.000
0.000 0.500 0.500
0.500 0.000 0.500
0.500 0.500 0.500
```

=====

Entry 11:
A plane-wave DFT calculation with GGA-PBE was carried out for a geometry-optimized ZrOs2I structure.

Values from the calculation:
For the raw formation energy, the calculation gives 3.6 eV per formula unit. The energy comes out at -7.2465 eV/atom. The space-group type is Fm-3m (225).

```
ZrOs2I
1.0
0.000 3.335 3.335
3.335 0.000 3.335
3.335 3.335 0.000
Zr Os I
1 2 1
Direct
0.000 0.000 0.000
0.250 0.250 0.250
0.750 0.750 0.750
0.500 0.500 0.500
```

=====

Entry 12:
A plane-wave DFT calculation with GGA-PBE was carried out for a geometry-optimized ZrOs2I structure.

Values from the calculation:
For the raw formation energy, the calculation gives 5.3 eV per formula unit. The energy comes out at -6.8053 eV/atom. The space-group type is I-42d (122).

```
ZrOs2I
1.0
-2.861 2.861 6.389
2.861 -2.861 6.389
2.861 2.861 -6.389
Zr Os I
2 4 2
Direct
0.000 0.000 0.000
0.750 0.250 0.500
0.137 0.625 0.012
0.375 0.387 0.512
0.613 0.125 0.988
0.875 0.863 0.488
0.250 0.750 0.500
0.500 0.500 0.000
```

=====

Entry 13:
A plane-wave DFT calculation with GGA-PBE was carried out for a geometry-optimized Zr2OsI structure.

Values from the calculation:
For the raw formation energy, the calculation gives 2.0 eV per formula unit. The energy comes out at -6.9723 eV/atom. The space-group type is I-42d (122).

```
Zr2OsI
1.0
-3.093 3.093 6.601
3.093 -3.093 6.601
3.093 3.093 -6.601
Zr Os I
4 2 2
Direct
0.053 0.625 0.928
0.375 0.303 0.428
0.697 0.125 0.072
0.875 0.947 0.572
0.000 0.000 0.000
0.750 0.250 0.500
0.250 0.750 0.500
0.500 0.500 0.000
```

=====

Entry 14:
A plane-wave DFT calculation with GGA-PBE was carried out for a geometry-optimized ZrOs3I structure.

Values from the calculation:
For the raw formation energy, the calculation gives 12.9 eV per formula unit. The energy comes out at -6.1766 eV/atom. The space-group type is Pm-3m (221).

```
ZrOs3I
1.0
4.982 0.000 0.000
0.000 4.982 0.000
0.000 0.000 4.982
Zr Os I
1 3 1
Direct
0.000 0.000 0.000
0.000 0.000 0.500
0.000 0.500 0.000
0.500 0.000 0.000
0.500 0.500 0.500
```

=====

Entry 15:
A plane-wave DFT calculation with GGA-PBE was carried out for a geometry-optimized ZrOs3I structure.

Values from the calculation:
For the raw formation energy, the calculation gives 11.1 eV per formula unit. The energy comes out at -6.5426 eV/atom. The space-group type is Pm-3m (221).

```
ZrOs3I
1.0
4.778 0.000 0.000
0.000 4.778 0.000
0.000 0.000 4.778
Zr Os I
1 3 1
Direct
0.000 0.000 0.000
0.000 0.500 0.500
0.500 0.000 0.500
0.500 0.500 0.000
0.500 0.500 0.500
```

=====

Entry 16:
A plane-wave DFT calculation with GGA-PBE was carried out for a geometry-optimized Zr2OsI structure.

Values from the calculation:
For the raw formation energy, the calculation gives 1.0 eV per formula unit. The energy comes out at -7.2183 eV/atom. The space-group type is Fm-3m (225).

```
Zr2OsI
1.0
0.000 3.456 3.456
3.456 0.000 3.456
3.456 3.456 0.000
Zr Os I
2 1 1
Direct
0.250 0.250 0.250
0.750 0.750 0.750
0.000 0.000 0.000
0.500 0.500 0.500
```

=====

Entry 17:
A plane-wave DFT calculation with GGA-PBE was carried out for a geometry-optimized PI structure.

Values from the calculation:
For the raw formation energy, the calculation gives 0.3 eV per formula unit. The energy comes out at -3.3425 eV/atom. The space-group type is P4/m (83).

```
PI
1.0
13.781 0.000 0.000
0.000 13.781 0.000
0.000 0.000 3.672
P I
8 8
Direct
0.194 0.275 0.000
0.236 0.705 0.500
0.275 0.806 0.000
0.295 0.236 0.500
0.705 0.764 0.500
0.725 0.194 0.000
0.764 0.295 0.500
0.806 0.725 0.000
0.061 0.744 0.500
0.232 0.450 0.000
0.256 0.061 0.500
0.450 0.768 0.000
0.550 0.232 0.000
0.744 0.939 0.500
0.768 0.550 0.000
0.939 0.256 0.500
```

=====

Entry 18:
A plane-wave DFT calculation with GGA-PBE was carried out for a geometry-optimized PI structure.

Values from the calculation:
For the raw formation energy, the calculation gives 2.4 eV per formula unit. The energy comes out at -2.2917 eV/atom. The space-group type is Pm-3n (223).

```
PI
1.0
8.154 0.000 0.000
0.000 8.154 0.000
0.000 0.000 8.154
P I
6 6
Direct
0.000 0.250 0.500
0.000 0.750 0.500
0.250 0.500 0.000
0.500 0.000 0.250
0.500 0.000 0.750
0.750 0.500 0.000
0.000 0.500 0.250
0.000 0.500 0.750
0.250 0.000 0.500
0.500 0.250 0.000
0.500 0.750 0.000
0.750 0.000 0.500
```

=====

Entry 19:
A plane-wave DFT calculation with GGA-PBE was carried out for a geometry-optimized PI structure.

Values from the calculation:
For the raw formation energy, the calculation gives 0.5 eV per formula unit. The energy comes out at -3.2351 eV/atom. The space-group type is P6_3/m (176).

```
PI
1.0
12.117 0.000 0.000
-6.059 10.494 0.000
0.000 0.000 4.379
P I
6 6
Direct
0.026 0.518 0.250
0.482 0.508 0.250
0.492 0.974 0.250
0.508 0.026 0.750
0.518 0.492 0.750
0.974 0.482 0.750
0.103 0.747 0.250
0.253 0.356 0.250
0.356 0.103 0.750
0.644 0.897 0.250
0.747 0.644 0.750
0.897 0.253 0.750
```

=====

Entry 20:
A plane-wave DFT calculation with GGA-PBE was carried out for a geometry-optimized PI structure.

Values from the calculation:
For the raw formation energy, the calculation gives 1.6 eV per formula unit. The energy comes out at -2.6677 eV/atom. The space-group type is Fm-3m (225).

```
PI
1.0
0.000 2.965 2.965
2.965 0.000 2.965
2.965 2.965 0.000
P I
1 1
Direct
0.000 0.000 0.000
0.500 0.500 0.500
```

=====

Entry 21:
A plane-wave DFT calculation with GGA-PBE was carried out for a geometry-optimized PI3 structure.

Values from the calculation:
For the raw formation energy, the calculation gives -0.1 eV per formula unit. The energy comes out at -2.5494 eV/atom. The space-group type is P6_3 (173).

```
PI3
1.0
7.550 0.000 0.000
-3.775 6.538 0.000
0.000 0.000 8.152
P I
2 6
Direct
0.333 0.667 0.000
0.667 0.333 0.500
0.060 0.347 0.872
0.287 0.940 0.872
0.347 0.287 0.372
0.653 0.713 0.872
0.713 0.060 0.372
0.940 0.653 0.372
```

=====

Entry 22:
A plane-wave DFT calculation with GGA-PBE was carried out for a geometry-optimized PI structure.

Values from the calculation:
For the raw formation energy, the calculation gives 0.4 eV per formula unit. The energy comes out at -3.2721 eV/atom. The space-group type is P2_12_12_1 (19).

```
PI
1.0
6.980 0.000 0.000
0.000 9.545 0.000
0.000 0.000 11.046
P I
8 8
Direct
0.072 0.067 0.278
0.126 0.440 0.140
0.374 0.560 0.640
0.428 0.933 0.778
0.572 0.433 0.722
0.626 0.060 0.860
0.874 0.940 0.360
0.928 0.567 0.222
0.050 0.391 0.929
0.166 0.867 0.913
0.334 0.133 0.413
0.450 0.609 0.429
0.550 0.109 0.071
0.666 0.633 0.087
0.834 0.367 0.587
0.950 0.891 0.571
```

=====

Entry 23:
A plane-wave DFT calculation with GGA-PBE was carried out for a geometry-optimized PI structure.

Values from the calculation:
For the raw formation energy, the calculation gives 0.1 eV per formula unit. The energy comes out at -3.4419 eV/atom. The space-group type is Pmn2_1 (31).

```
PI
1.0
8.596 0.000 0.000
0.000 8.822 0.000
0.000 0.000 9.218
P I
6 6
Direct
0.000 0.149 0.000
0.132 0.220 0.196
0.368 0.780 0.696
0.500 0.851 0.500
0.632 0.780 0.696
0.868 0.220 0.196
0.000 0.874 0.063
0.227 0.472 0.122
0.273 0.528 0.622
0.500 0.126 0.563
0.727 0.528 0.622
0.773 0.472 0.122
```

=====

Entry 24:
A plane-wave DFT calculation with GGA-PBE was carried out for a geometry-optimized PI structure.

Values from the calculation:
For the raw formation energy, the calculation gives 1.5 eV per formula unit. The energy comes out at -2.7067 eV/atom. The space-group type is Cm (8).

```
PI
1.0
3.136 -1.817 0.000
3.136 1.817 0.000
-2.098 0.000 5.487
P I
1 1
Direct
0.000 0.000 0.000
0.143 0.143 0.427
```

=====

Entry 25:
A plane-wave DFT calculation with GGA-PBE was carried out for a geometry-optimized PI structure.

Values from the calculation:
For the raw formation energy, the calculation gives 2.0 eV per formula unit. The energy comes out at -2.4858 eV/atom. The space-group type is P6_3mc (186).

```
PI
1.0
4.580 0.000 0.000
-2.290 3.966 0.000
0.000 0.000 10.040
P I
2 2
Direct
0.333 0.667 0.000
0.667 0.333 0.500
0.333 0.667 0.433
0.667 0.333 0.933
```